No. 1
The following is a DFT calculation (GGA-PBE) of crystalline Na2Tl4Pt at its relaxed geometry.

extended XYZ file:
```
7
Lattice="-2.2581 -3.3479 3.4272 -0.9610 -3.3953 -3.9499 5.5777 -6.9024 1.0249" Properties=species:S:1:pos:R:3 pbc="T T T"
Na 2.0333 -9.3235 0.4173
Na 0.3252 -4.3221 0.0849
Tl -0.6833 -7.9889 -0.0689
Tl 3.0419 -5.6566 0.5711
Tl -0.4805 -1.6976 -1.9750
Tl -1.1290 -1.6740 1.7136
Pt 0.0000 0.0000 0.0000
```

Computed properties:
Energy of formation, eV/atom: 0.016
Crystal system: tetragonal
Calculated volume, Å³/f.u.: 228
Total magnetization, μB per atom: 0.0000


No. 2
The following is a DFT calculation (GGA-PBE) of crystalline Na5Tl5Pt2 at its relaxed geometry.

extended XYZ file:
```
12
Lattice="-2.4170 3.0067 3.2187 4.7076 -2.8360 2.2631 8.1486 9.7949 -3.0306" Properties=species:S:1:pos:R:3 pbc="T T T"
Na 2.8658 6.4008 0.0941
Na 1.2605 2.6146 2.4253
Na 4.2075 4.5888 2.7942
Na 6.2316 5.3768 -0.3430
Na 9.1787 7.3509 0.0259
Tl 3.7551 3.2318 -0.1990
Tl 6.0973 8.7995 0.2800
Tl 4.3418 1.1660 2.1712
Tl 6.6840 6.7337 2.6503
Tl 0.0000 0.0000 0.0000
Pt 6.7597 7.7264 -2.1412
Pt 3.6794 2.2392 4.5925
```

Computed properties:
Energy of formation, eV/atom: -0.131
Crystal system: monoclinic
Calculated volume, Å³/f.u.: 354
E above lowest polymorph, meV per atom: 36.9
Total magnetization, μB per atom: 0.0000


No. 3
The following is a DFT calculation (GGA-PBE) of crystalline Na6Tl12Pt at its relaxed geometry.

extended XYZ file:
```
19
Lattice="-7.9644 -1.2597 0.9185 1.9647 -5.1866 5.9247 0.0222 6.4068 4.9814" Properties=species:S:1:pos:R:3 pbc="T T T"
Na -4.0084 -3.8560 7.1791
Na -5.3762 -1.6376 2.9050
Na 0.5472 -2.2238 5.8974
Na -1.9692 3.8165 4.6455
Na -0.6013 1.5981 8.9196
Na -6.5247 2.1843 5.9272
Tl -5.2835 -0.8424 6.1717
Tl -2.0651 -1.2863 7.7972
Tl -3.3355 2.0582 7.1661
Tl -0.6940 0.8030 5.6529
Tl -3.9124 1.2468 4.0274
Tl -2.6421 -2.0976 4.6584
Tl -0.0498 1.5440 2.6025
Tl -5.6187 1.7213 9.3894
Tl -3.2185 -0.2353 10.5962
Tl -5.9278 -1.5835 9.2221
Tl -0.3589 -1.7608 2.4352
Tl -2.7590 0.1959 1.2284
Pt 0.0000 0.0000 0.0000
```

Computed properties:
Energy of formation, eV/atom: -0.084
Crystal system: trigonal
Calculated volume, Å³/f.u.: 532
Total magnetization, μB per atom: 0.0000